(1)
# CoRuCl3, relaxed, DFT GGA-PBE
# Volume = 356.39 Å³ per cell
# VASP energy = -0.3240 Ry/atom
# Raw formation energy = -0.02 eV per atom
data_CoRuCl3
_space_group_name_H-M_alt 'P n m a'
_space_group_IT_number 62
_cell_length_a 6.298
_cell_length_b 9.200
_cell_length_c 6.151
_cell_angle_alpha 90.00
_cell_angle_beta 90.00
_cell_angle_gamma 90.00
loop_
_space_group_symop_operation_xyz
'x,y,z'
'-x,-y,-z'
'-x+1/2,-y,z+1/2'
'x+1/2,y,-z+1/2'
'x+1/2,-y+1/2,-z+1/2'
'-x+1/2,y+1/2,z+1/2'
'-x,y+1/2,-z'
'x,-y+1/2,z'
loop_
_atom_site_label
_atom_site_fract_x
_atom_site_fract_y
_atom_site_fract_z
Co1 0.025 0.250 0.013
Ru1 0.000 0.000 0.500
Cl1 0.094 0.750 0.630
Cl2 0.170 0.575 0.163

---

(2)
# MgFeHg4, relaxed, DFT GGA-PBE
# Volume = 552.94 Å³ per cell
# VASP energy = -0.0990 Ry/atom
# DFT formation energy = 0.5309 eV/atom
data_MgFeHg4
_space_group_name_H-M_alt 'F -4 3 m'
_space_group_IT_number 216
_space_group_name_Hall 'F -4 2 3'
_cell_length_a 8.208
_cell_length_b 8.208
_cell_length_c 8.208
_cell_angle_alpha 90.00
_cell_angle_beta 90.00
_cell_angle_gamma 90.00
loop_
_atom_site_label
_atom_site_fract_x
_atom_site_fract_y
_atom_site_fract_z
Mg1 0.000 0.000 0.000
Fe1 0.250 0.250 0.750
Hg1 0.125 0.125 0.375

---

(3)
# TlGe2IrSe, relaxed, DFT GGA-PBE
# Volume = 128.48 Å³ per cell
# VASP energy = -0.2964 Ry/atom
# Raw formation energy = 0.76 eV per atom
data_TlGe2IrSe
_space_group_name_H-M_alt 'P 4/m m m'
_space_group_IT_number 123
_space_group_name_Hall '-P 4 2'
_cell_length_a 5.285
_cell_length_b 5.285
_cell_length_c 4.600
_cell_angle_alpha 90.00
_cell_angle_beta 90.00
_cell_angle_gamma 90.00
loop_
_atom_site_label
_atom_site_fract_x
_atom_site_fract_y
_atom_site_fract_z
Tl1 0.000 0.000 0.000
Ge1 0.000 0.500 0.500
Ir1 0.500 0.500 0.000
Se1 0.500 0.500 0.500

---

(4)
# CaTePbC2, relaxed, DFT GGA-PBE
# Volume = 140.25 Å³ per cell
# VASP energy = -0.2612 Ry/atom
# Raw formation energy = 1.91 eV per atom
data_CaTePbC2
_space_group_name_H-M_alt 'P 4/m m m'
_space_group_IT_number 123
_space_group_name_Hall '-P 4 2'
_cell_length_a 4.772
_cell_length_b 4.772
_cell_length_c 6.158
_cell_angle_alpha 90.00
_cell_angle_beta 90.00
_cell_angle_gamma 90.00
loop_
_atom_site_label
_atom_site_fract_x
_atom_site_fract_y
_atom_site_fract_z
Ca1 0.000 0.000 0.000
Te1 0.000 0.000 0.500
Pb1 0.500 0.500 0.500
C1 0.000 0.500 0.000

---

(5)
# TlFeTcI2, relaxed, DFT GGA-PBE
# Volume = 137.92 Å³ per cell
# VASP energy = -0.2982 Ry/atom
# Raw formation energy = 0.80 eV per atom
data_TlFeTcI2
_space_group_name_H-M_alt 'P 4/m m m'
_space_group_IT_number 123
_space_group_name_Hall '-P 4 2'
_cell_length_a 5.532
_cell_length_b 5.532
_cell_length_c 4.506
_cell_angle_alpha 90.00
_cell_angle_beta 90.00
_cell_angle_gamma 90.00
loop_
_atom_site_label
_atom_site_fract_x
_atom_site_fract_y
_atom_site_fract_z
Tl1 0.000 0.000 0.000
Fe1 0.500 0.500 0.500
Tc1 0.500 0.500 0.000
I1 0.000 0.500 0.500

---

(6)
# Pm5TaGe4, relaxed, DFT GGA-PBE
# Volume = 554.10 Å³ per cell
# VASP energy = -0.4289 Ry/atom
# DFT formation energy = -0.4283 eV/atom
data_Pm5TaGe4
_space_group_name_H-M_alt 'C 1 2/m 1'
_space_group_IT_number 12
_cell_length_a 17.856
_cell_length_b 4.046
_cell_length_c 7.939
_cell_angle_alpha 90.00
_cell_angle_beta 104.98
_cell_angle_gamma 90.00
loop_
_space_group_symop_operation_xyz
'x,y,z'
'-x,-y,-z'
'-x,y,-z'
'x,-y,z'
'x+1/2,y+1/2,z'
'-x+1/2,-y+1/2,-z'
'-x+1/2,y+1/2,-z'
'x+1/2,-y+1/2,z'
loop_
_atom_site_label
_atom_site_fract_x
_atom_site_fract_y
_atom_site_fract_z
Pm1 0.000 0.000 0.000
Pm2 0.166 0.500 0.853
Pm3 0.172 0.500 0.330
Ta1 0.000 0.000 0.500
Ge1 0.002 0.500 0.277
Ge2 0.157 0.000 0.586

---

(7)
# Ca2HoF7, relaxed, DFT GGA-PBE
# Volume = 831.69 Å³ per cell
# VASP energy = -0.4446 Ry/atom
# Raw formation energy = -3.88 eV per atom
data_Ca2HoF7
_space_group_name_H-M_alt 'C 1 m 1'
_space_group_IT_number 8
_cell_length_a 7.616
_cell_length_b 3.645
_cell_length_c 29.962
_cell_angle_alpha 90.00
_cell_angle_beta 91.27
_cell_angle_gamma 90.00
loop_
_space_group_symop_operation_xyz
'x,y,z'
'x,-y,z'
'x+1/2,y+1/2,z'
'x+1/2,-y+1/2,z'
loop_
_atom_site_label
_atom_site_fract_x
_atom_site_fract_y
_atom_site_fract_z
Ca1 0.000 0.000 0.000
Ca2 0.038 0.000 0.226
Ca3 0.093 0.000 0.798
Ca4 0.144 0.500 0.107
Ca5 0.263 0.500 0.669
Ca6 0.357 0.000 0.891
Ho1 0.219 0.500 0.440
Ho2 0.226 0.000 0.557
Ho3 0.290 0.000 0.323
F1 0.000 0.000 0.073
F2 0.027 0.500 0.552
F3 0.037 0.000 0.907
F4 0.118 0.500 0.184
F5 0.128 0.000 0.477
F6 0.135 0.000 0.389
F7 0.156 0.000 0.628
F8 0.178 0.500 0.018
F9 0.182 0.500 0.284
F10 0.185 0.000 0.735
F11 0.217 0.500 0.854
F12 0.312 0.500 0.366
F13 0.315 0.500 0.509
F14 0.316 0.000 0.123
F15 0.335 0.500 0.592
F16 0.347 0.000 0.243
F17 0.361 0.000 0.965
F18 0.413 0.000 0.812
F19 0.425 0.000 0.434
F20 0.459 0.000 0.683
F21 0.499 0.500 0.305

---

(8)
# Fe3CoPd6, relaxed, DFT GGA-PBE
# Volume = 282.43 Å³ per cell
# VASP energy = -0.4712 Ry/atom
# DFT formation energy = -0.0457 eV/atom
data_Fe3CoPd6
_space_group_name_H-M_alt 'P 1 21/m 1'
_space_group_IT_number 11
_cell_length_a 7.210
_cell_length_b 4.381
_cell_length_c 9.467
_cell_angle_alpha 90.00
_cell_angle_beta 109.20
_cell_angle_gamma 90.00
loop_
_space_group_symop_operation_xyz
'x,y,z'
'-x,-y,-z'
'-x,y+1/2,-z'
'x,-y+1/2,z'
loop_
_atom_site_label
_atom_site_fract_x
_atom_site_fract_y
_atom_site_fract_z
Fe1 0.102 0.250 0.237
Fe2 0.297 0.250 0.033
Fe3 0.302 0.750 0.371
Co1 0.096 0.750 0.564
Pd1 0.085 0.250 0.722
Pd2 0.100 0.750 0.072
Pd3 0.288 0.250 0.528
Pd4 0.289 0.750 0.861
Pd5 0.495 0.250 0.333
Pd6 0.499 0.750 0.162

---

(9)
# TlReHg2, relaxed, DFT GGA-PBE
# Volume = 359.91 Å³ per cell
# VASP energy = -0.2074 Ry/atom
# DFT formation energy = 1.0329 eV/atom
data_TlReHg2
_space_group_name_H-M_alt 'I -4 2 d'
_space_group_IT_number 122
_space_group_name_Hall 'I -4 2bw'
_cell_length_a 4.173
_cell_length_b 4.173
_cell_length_c 20.668
_cell_angle_alpha 90.00
_cell_angle_beta 90.00
_cell_angle_gamma 90.00
loop_
_atom_site_label
_atom_site_fract_x
_atom_site_fract_y
_atom_site_fract_z
Tl1 0.000 0.000 0.000
Re1 0.000 0.000 0.500
Hg1 0.225 0.250 0.625

---

(10)
# TbEuHoMg, relaxed, DFT GGA-PBE
# Volume = 491.62 Å³ per cell
# VASP energy = -0.3813 Ry/atom
# DFT formation energy = 0.0814 eV/atom
data_TbEuHoMg
_space_group_name_H-M_alt 'F -4 3 m'
_space_group_IT_number 216
_space_group_name_Hall 'F -4 2 3'
_cell_length_a 7.892
_cell_length_b 7.892
_cell_length_c 7.892
_cell_angle_alpha 90.00
_cell_angle_beta 90.00
_cell_angle_gamma 90.00
loop_
_atom_site_label
_atom_site_fract_x
_atom_site_fract_y
_atom_site_fract_z
Tb1 0.000 0.000 0.000
Eu1 0.250 0.250 0.250
Ho1 0.000 0.000 0.500
Mg1 0.250 0.250 0.750

---

Question: The highest VASP energy belongs to which entry?
Answer: MgFeHg4

---

Copy entry 4 word for word.
# CaTePbC2, relaxed, DFT GGA-PBE
# Volume = 140.25 Å³ per cell
# VASP energy = -0.2612 Ry/atom
# Raw formation energy = 1.91 eV per atom
data_CaTePbC2
_space_group_name_H-M_alt 'P 4/m m m'
_space_group_IT_number 123
_space_group_name_Hall '-P 4 2'
_cell_length_a 4.772
_cell_length_b 4.772
_cell_length_c 6.158
_cell_angle_alpha 90.00
_cell_angle_beta 90.00
_cell_angle_gamma 90.00
loop_
_atom_site_label
_atom_site_fract_x
_atom_site_fract_y
_atom_site_fract_z
Ca1 0.000 0.000 0.000
Te1 0.000 0.000 0.500
Pb1 0.500 0.500 0.500
C1 0.000 0.500 0.000

---

Question: Which value of VASP energy does entry 5 give?
Answer: -0.2982 Ry/atom

---

Copy entry 4 word for word.
# CaTePbC2, relaxed, DFT GGA-PBE
# Volume = 140.25 Å³ per cell
# VASP energy = -0.2612 Ry/atom
# Raw formation energy = 1.91 eV per atom
data_CaTePbC2
_space_group_name_H-M_alt 'P 4/m m m'
_space_group_IT_number 123
_space_group_name_Hall '-P 4 2'
_cell_length_a 4.772
_cell_length_b 4.772
_cell_length_c 6.158
_cell_angle_alpha 90.00
_cell_angle_beta 90.00
_cell_angle_gamma 90.00
loop_
_atom_site_label
_atom_site_fract_x
_atom_site_fract_y
_atom_site_fract_z
Ca1 0.000 0.000 0.000
Te1 0.000 0.000 0.500
Pb1 0.500 0.500 0.500
C1 0.000 0.500 0.000